(1)
ReNiS2N | PBE | relaxed

E = -31.633 eV/f.u.
Energy relative to the lowest polymorph listed for this composition = 0 meV per atom
E_form (uncorrected) = 635 meV/atom

```
data_ReNiS2N
_chemical_formula_sum 'Re1 Ni1 S2 N1'
_cell_length_a 4.746
_cell_length_b 4.746
_cell_length_c 3.711
_cell_angle_alpha 90.00
_cell_angle_beta 90.00
_cell_angle_gamma 90.00
_space_group_name_H-M_alt 'P 4/m m m'
_space_group_IT_number 123
_space_group_name_Hall '-P 4 2'
loop_
_atom_site_label
_atom_site_type_symbol
_atom_site_fract_x
_atom_site_fract_y
_atom_site_fract_z
_atom_site_occupancy
Re1 Re 0.000 0.000 0.000 1
Ni1 Ni 0.500 0.500 0.500 1
S1 S 0.000 0.500 0.000 1
N1 N 0.000 0.000 0.500 1
```

---

(2)
Hf2ScPdF | PBE | relaxed

E = -29.033 eV/f.u.
Energy relative to the lowest polymorph listed for this composition = 589 meV per atom
E_form (uncorrected) = 854 meV/atom

```
data_Hf2ScPdF
_chemical_formula_sum 'Hf2 Sc1 Pd1 F1'
_cell_length_a 5.183
_cell_length_b 5.183
_cell_length_c 4.561
_cell_angle_alpha 90.00
_cell_angle_beta 90.00
_cell_angle_gamma 90.00
_space_group_name_H-M_alt 'P 4/m m m'
_space_group_IT_number 123
_space_group_name_Hall '-P 4 2'
loop_
_atom_site_label
_atom_site_type_symbol
_atom_site_fract_x
_atom_site_fract_y
_atom_site_fract_z
_atom_site_occupancy
Hf1 Hf 0.000 0.500 0.000 1
Sc1 Sc 0.000 0.000 0.000 1
Pd1 Pd 0.000 0.000 0.500 1
F1 F 0.500 0.500 0.500 1
```

---

(3)
ZrCdHg2 | PBE | relaxed

E = -9.676 eV/f.u.
ΔH_f (0 K) = 0.39 eV/f.u.

```
data_ZrCdHg2
_chemical_formula_sum 'Zr4 Cd4 Hg8'
_cell_length_a 7.046
_cell_length_b 7.046
_cell_length_c 7.046
_cell_angle_alpha 90.00
_cell_angle_beta 90.00
_cell_angle_gamma 90.00
_space_group_name_H-M_alt 'F -4 3 m'
_space_group_IT_number 216
_space_group_name_Hall 'F -4 2 3'
loop_
_atom_site_label
_atom_site_type_symbol
_atom_site_fract_x
_atom_site_fract_y
_atom_site_fract_z
_atom_site_occupancy
Zr1 Zr 0.000 0.000 0.000 1
Cd1 Cd 0.250 0.250 0.750 1
Hg1 Hg 0.000 0.000 0.500 1
Hg2 Hg 0.250 0.250 0.250 1
```

---

(4)
ErThOs4 | PBE | relaxed

E = -58.505 eV/f.u.
ΔH_f (0 K) = -1.60 eV/f.u.

```
data_ErThOs4
_chemical_formula_sum 'Er4 Th4 Os16'
_cell_length_a 7.647
_cell_length_b 7.647
_cell_length_c 7.647
_cell_angle_alpha 90.00
_cell_angle_beta 90.00
_cell_angle_gamma 90.00
_space_group_name_H-M_alt 'F -4 3 m'
_space_group_IT_number 216
_space_group_name_Hall 'F -4 2 3'
loop_
_atom_site_label
_atom_site_type_symbol
_atom_site_fract_x
_atom_site_fract_y
_atom_site_fract_z
_atom_site_occupancy
Er1 Er 0.000 0.000 0.000 1
Th1 Th 0.250 0.250 0.250 1
Os1 Os 0.125 0.125 0.625 1
```